[1]
The following is a DFT calculation (PBE) of a relaxed structure of TaCrTeI2. Values from VASP.

Results
* formation energy (no corrections): 0.651 eV per atom
* E_tot: -24.5 eV for the cell shown
* crystal system: tetragonal

The structure in Quantum ESPRESSO input format:
```
&SYSTEM
  ibrav = 0, nat = 5, ntyp = 4
/
ATOMIC_SPECIES
Ta 180.95 Ta.upf
Cr 52.00 Cr.upf
Te 127.60 Te.upf
I 126.90 I.upf
ATOMIC_POSITIONS angstrom
Ta 0.000 0.000 0.000
Cr 2.798 2.798 2.708
Te 0.000 0.000 2.708
I 0.000 2.798 0.000
I 2.798 0.000 0.000
CELL_PARAMETERS angstrom
5.597 0.000 0.000
0.000 5.597 0.000
0.000 0.000 5.417
```

---

[2]
The following is a DFT calculation (PBE) of a relaxed structure of TbCrI6. Values from VASP.

Results
* formation energy (no corrections): -0.778 eV per atom
* E_tot: -29.8 eV for the cell shown
* crystal system: trigonal

The structure in Quantum ESPRESSO input format:
```
&SYSTEM
  ibrav = 0, nat = 8, ntyp = 3
/
ATOMIC_SPECIES
Tb 158.93 Tb.upf
Cr 52.00 Cr.upf
I 126.90 I.upf
ATOMIC_POSITIONS angstrom
Tb 0.000 0.000 0.000
Cr 0.000 0.000 9.855
I -2.278 -0.009 8.283
I -1.131 -1.977 11.428
I 1.147 -1.968 8.283
I -1.147 1.968 11.428
I 1.131 1.977 8.283
I 2.278 0.009 11.428
CELL_PARAMETERS angstrom
3.659 2.113 6.570
-3.659 2.113 6.570
0.000 -4.225 6.570
```

---

[3]
The following is a DFT calculation (PBE) of a relaxed structure of Cr3TcI. Values from VASP.

Results
* formation energy (no corrections): 1.243 eV per atom
* E_tot: -34.6 eV for the cell shown
* crystal system: cubic

The structure in Quantum ESPRESSO input format:
```
&SYSTEM
  ibrav = 0, nat = 5, ntyp = 3
/
ATOMIC_SPECIES
Cr 52.00 Cr.upf
Tc 98.00 Tc.upf
I 126.90 I.upf
ATOMIC_POSITIONS angstrom
Cr 0.000 0.000 2.411
Cr 0.000 2.411 0.000
Cr 2.411 0.000 0.000
Tc 0.000 0.000 0.000
I 2.411 2.411 2.411
CELL_PARAMETERS angstrom
4.821 0.000 0.000
0.000 4.821 0.000
0.000 0.000 4.821
```

---

[4]
The following is a DFT calculation (PBE) of a relaxed structure of CrTcI3. Values from VASP.

Results
* formation energy (no corrections): 0.834 eV per atom
* E_tot: -20.5 eV for the cell shown
* crystal system: cubic

The structure in Quantum ESPRESSO input format:
```
&SYSTEM
  ibrav = 0, nat = 5, ntyp = 3
/
ATOMIC_SPECIES
Cr 52.00 Cr.upf
Tc 98.00 Tc.upf
I 126.90 I.upf
ATOMIC_POSITIONS angstrom
Cr 0.000 0.000 0.000
Tc 2.780 2.780 2.780
I 0.000 0.000 2.780
I 0.000 2.780 0.000
I 2.780 0.000 0.000
CELL_PARAMETERS angstrom
5.559 0.000 0.000
0.000 5.559 0.000
0.000 0.000 5.559
```

---

[5]
The following is a DFT calculation (PBE) of a relaxed structure of Cr2Tc2I. Values from VASP.

Results
* formation energy (no corrections): 0.732 eV per atom
* E_tot: -75.7 eV for the cell shown
* crystal system: tetragonal

The structure in Quantum ESPRESSO input format:
```
&SYSTEM
  ibrav = 0, nat = 10, ntyp = 3
/
ATOMIC_SPECIES
Cr 52.00 Cr.upf
Tc 98.00 Tc.upf
I 126.90 I.upf
ATOMIC_POSITIONS angstrom
Cr 1.012 2.685 0.000
Cr 2.685 6.383 0.000
Cr 4.709 1.012 0.000
Cr 6.383 4.709 0.000
Tc 1.029 4.726 1.460
Tc 2.669 1.029 1.460
Tc 4.726 6.366 1.460
Tc 6.366 2.669 1.460
I 0.000 0.000 0.000
I 3.697 3.697 0.000
CELL_PARAMETERS angstrom
7.394 0.000 0.000
0.000 7.394 0.000
0.000 0.000 2.920
```

---

[6]
The following is a DFT calculation (PBE) of a relaxed structure of Cr2Tc2I. Values from VASP.

Results
* formation energy (no corrections): 0.708 eV per atom
* E_tot: -38.0 eV for the cell shown
* crystal system: tetragonal

The structure in Quantum ESPRESSO input format:
```
&SYSTEM
  ibrav = 0, nat = 5, ntyp = 3
/
ATOMIC_SPECIES
Cr 52.00 Cr.upf
Tc 98.00 Tc.upf
I 126.90 I.upf
ATOMIC_POSITIONS angstrom
Cr 0.000 0.000 1.615
Cr 0.000 0.000 10.503
Tc 1.948 0.000 3.029
Tc 0.000 1.948 3.029
I 0.000 0.000 6.059
CELL_PARAMETERS angstrom
-1.948 1.948 6.059
1.948 -1.948 6.059
1.948 1.948 -6.059
```

---

[7]
The following is a DFT calculation (PBE) of a relaxed structure of CrTcI2. Values from VASP.

Results
* formation energy (no corrections): 1.168 eV per atom
* E_tot: -18.4 eV for the cell shown
* crystal system: cubic

The structure in Quantum ESPRESSO input format:
```
&SYSTEM
  ibrav = 0, nat = 4, ntyp = 3
/
ATOMIC_SPECIES
Cr 52.00 Cr.upf
Tc 98.00 Tc.upf
I 126.90 I.upf
ATOMIC_POSITIONS angstrom
Cr 0.000 0.000 0.000
Tc 3.332 3.332 3.332
I 1.666 1.666 1.666
I 4.999 4.999 4.999
CELL_PARAMETERS angstrom
0.000 3.332 3.332
3.332 0.000 3.332
3.332 3.332 0.000
```

---

[8]
The following is a DFT calculation (PBE) of a relaxed structure of CrTcI2. Values from VASP.

Results
* formation energy (no corrections): 1.150 eV per atom
* E_tot: -37.0 eV for the cell shown
* crystal system: tetragonal

The structure in Quantum ESPRESSO input format:
```
&SYSTEM
  ibrav = 0, nat = 8, ntyp = 3
/
ATOMIC_SPECIES
Cr 52.00 Cr.upf
Tc 98.00 Tc.upf
I 126.90 I.upf
ATOMIC_POSITIONS angstrom
Cr 0.000 0.000 0.000
Cr 0.000 2.956 2.953
Tc 2.956 0.000 2.953
Tc 0.000 0.000 5.905
I 4.434 1.413 -1.476
I 1.413 1.478 1.476
I -1.478 1.543 4.429
I 1.543 1.478 7.381
CELL_PARAMETERS angstrom
-2.956 2.956 5.905
2.956 -2.956 5.905
2.956 2.956 -5.905
```